Arrangement A

Computed, not measured: crystalline VH6O3F3 at its relaxed geometry at the GGA+U level of DFT. Values from VASP.

Quantum ESPRESSO input file:
```
&SYSTEM
  ibrav = 0, nat = 13, ntyp = 4
/
ATOMIC_SPECIES
F 19.00 F.upf
O 16.00 O.upf
H 1.01 H.upf
V 50.94 V.upf
CELL_PARAMETERS angstrom
-2.7583 1.9346 -3.8044
-4.2476 -1.3969 2.4146
-0.0794 4.4868 2.3845
ATOMIC_POSITIONS crystal
F 0.8665 0.2594 0.2594
O 0.7339 0.7339 0.1350
H 0.1849 0.7785 0.5494
H 0.1849 0.5494 0.7785
F 0.2594 0.2594 0.8665
O 0.1350 0.7339 0.7339
V 0.0006 0.0006 0.0006
O 0.7339 0.1350 0.7339
H 0.5494 0.7785 0.1849
H 0.5494 0.1849 0.7785
F 0.2594 0.8665 0.2594
H 0.7785 0.5494 0.1849
H 0.7785 0.1849 0.5494
```

Properties
V	10.09	Å³/atom
symmetry	R3m, No. 160
total magnetic moment	2.000	μB per cell

=====

Arrangement B

Computed, not measured: crystalline VH6O3F3 at its relaxed geometry at the GGA+U level of DFT. Values from VASP.

Quantum ESPRESSO input file:
```
&SYSTEM
  ibrav = 0, nat = 13, ntyp = 4
/
ATOMIC_SPECIES
H 1.01 H.upf
F 19.00 F.upf
O 16.00 O.upf
V 50.94 V.upf
CELL_PARAMETERS angstrom
6.2027 0.1285 -0.0351
-1.2826 6.4598 -0.0077
-2.2999 -3.2006 5.0864
ATOMIC_POSITIONS crystal
H 0.0261 0.6650 0.4752
F 0.9899 0.7444 0.0330
H 0.9939 0.5324 0.3872
H 0.3109 0.1383 0.0203
O 0.4963 0.7756 0.0199
H 0.2879 0.0915 0.8824
F 0.4986 0.5375 0.9781
H 0.8652 0.2151 0.5499
F 0.8141 0.0885 0.0207
H 0.9217 0.2281 0.6824
V 0.7017 0.7644 0.8744
O 0.5837 0.7301 0.5521
O 0.5242 0.5033 0.5385
```

Properties
V	15.68	Å³/atom
symmetry	P1, No. 1
total magnetic moment	0.067	μB per cell

=====

Which one sits at the bottom of the stability order? arrangement B does.

=====

Arrangement A

Computed, not measured: crystalline VHOF2 at its relaxed geometry at the GGA+U level of DFT. Values from VASP.

Quantum ESPRESSO input file:
```
&SYSTEM
  ibrav = 0, nat = 5, ntyp = 4
/
ATOMIC_SPECIES
H 1.01 H.upf
F 19.00 F.upf
V 50.94 V.upf
O 16.00 O.upf
CELL_PARAMETERS angstrom
-0.9846 -1.7266 3.2268
3.6597 -0.4661 0.8673
0.0013 2.4979 1.3369
ATOMIC_POSITIONS crystal
H 0.0000 0.0000 0.0000
F 0.5000 0.0000 0.0000
V 0.5000 0.5000 0.5000
O 0.0000 0.0000 0.5000
F 0.0000 0.5000 0.0000
```

Properties
V	8.14	Å³/atom
symmetry	P4/mmm, No. 123
total magnetic moment	2.000	μB per cell

=====

Arrangement B

Computed, not measured: crystalline VHOF2 at its relaxed geometry at the GGA+U level of DFT. Values from VASP.

Quantum ESPRESSO input file:
```
&SYSTEM
  ibrav = 0, nat = 5, ntyp = 4
/
ATOMIC_SPECIES
V 50.94 V.upf
F 19.00 F.upf
H 1.01 H.upf
O 16.00 O.upf
CELL_PARAMETERS angstrom
-3.7322 -0.5596 -1.2104
1.2950 -0.6637 -3.6864
0.2926 -3.5608 0.7439
ATOMIC_POSITIONS crystal
V 0.0000 0.0000 0.0000
F 0.0000 0.5000 0.0000
H 0.5000 0.5000 0.5000
F 0.5000 0.0000 0.0000
O 0.0000 0.0000 0.5000
```

Properties
V	11.46	Å³/atom
symmetry	P4/mmm, No. 123
total magnetic moment	2.000	μB per cell

=====

Which one sits at the bottom of the stability order? arrangement A does.